PBE-GGA PmEuPtPb, optimized geometry; crystal system = cubic; formation enthalpy at 0 K = -0.6419 eV per atom
1.0
5.334 0.000 0.000
2.667 4.620 0.000
2.667 1.540 4.355
Pb Pm Eu Pt
1 1 1 1
direct
0.750 0.750 0.750
0.000 0.000 0.000
0.500 0.500 0.500
0.250 0.250 0.250

---

PBE-GGA Li5HN, optimized geometry; crystal system = orthorhombic; energy relative to the lowest polymorph listed for this composition = 42 meV/atom
1.0
-2.865 1.723 1.841
-2.876 -3.604 2.855
1.368 0.997 5.152
Li N H
5 1 1
direct
0.000 0.500 0.500
0.500 0.791 0.209
0.753 0.247 0.247
0.247 0.753 0.753
0.500 0.209 0.791
0.500 0.500 0.500
0.000 0.000 0.000

---

PBE-GGA Zn3AsS, optimized geometry; crystal system = cubic; energy relative to the lowest polymorph listed for this composition = 62 meV/atom; formation energy from raw total energies = 0.34 eV/atom
1.0
4.653 0.000 0.000
0.000 4.653 0.000
0.000 0.000 4.653
As Zn S
1 3 1
direct
0.500 0.500 0.500
0.000 0.000 0.500
0.500 0.000 0.000
0.000 0.500 0.000
0.000 0.000 0.000

---

PBE-GGA CuAsPtBr2, optimized geometry; crystal system = tetragonal; energy relative to the lowest polymorph listed for this composition = 0 meV/atom; formation energy from raw total energies = 0.56 eV/atom
1.0
5.348 0.000 0.000
0.000 5.348 0.000
0.000 0.000 4.711
Br Pt As Cu
2 1 1 1
direct
0.500 0.000 0.000
0.000 0.500 0.000
0.000 0.000 0.000
0.000 0.000 0.500
0.500 0.500 0.500

---

PBE-GGA KFe2PdI8, optimized geometry; crystal system = monoclinic; formation energy from raw total energies = -0.36 eV/atom
1.0
-2.172 -6.782 -0.362
3.873 -4.052 4.406
-6.545 0.734 7.879
I Fe K Pd
8 2 1 1
direct
0.761 0.261 0.797
0.302 0.302 0.559
0.698 0.698 0.441
0.239 0.739 0.203
0.739 0.239 0.203
0.261 0.761 0.797
0.236 0.236 0.990
0.764 0.764 0.010
0.622 0.622 0.218
0.378 0.378 0.782
0.000 0.000 0.500
0.000 0.000 0.000

---

PBE-GGA Al2Ga2Bi2O9, optimized geometry; crystal system = orthorhombic; energy relative to the lowest polymorph listed for this composition = 0 meV/atom; formation energy from raw total energies = -2.05 eV/atom
1.0
5.841 0.000 0.000
0.000 7.920 0.000
0.000 0.000 8.326
O Ga Bi Al
18 4 4 4
direct
0.000 0.870 0.413
0.744 0.875 0.702
0.744 0.625 0.202
0.500 0.357 0.068
0.744 0.375 0.798
0.000 0.370 0.087
0.500 0.643 0.932
0.000 0.500 0.500
0.256 0.375 0.798
0.500 0.143 0.568
0.500 0.857 0.432
0.000 0.000 0.000
0.256 0.875 0.702
0.744 0.125 0.298
0.000 0.130 0.587
0.000 0.630 0.913
0.256 0.625 0.202
0.256 0.125 0.298
0.000 0.848 0.836
0.000 0.152 0.164
0.000 0.652 0.336
0.000 0.348 0.664
0.500 0.170 0.832
0.500 0.330 0.332
0.500 0.830 0.168
0.500 0.670 0.668
0.242 0.000 0.500
0.758 0.500 0.000
0.758 0.000 0.500
0.242 0.500 0.000

---

| no. | total DFT energy (no corrections) (eV/atom) | V (Å³/cell) |
| --- | --- | --- |
| 1 | -6.8355 | 107.3 |
| 2 | -3.2406 | 97.4 |
| 3 | -2.1784 | 100.8 |
| 4 | -3.0692 | 134.8 |
| 5 | -3.3263 | 487.5 |
| 6 | -6.4451 | 385.1 |